1.
Here is crystalline DyZrAs2 at its relaxed geometry from Alexandria via LeMat-Bulk. Energies are from GGA-PBE.

POSCAR file:
```
DyZrAs2
1.0
1.956 1.129 6.870
-1.956 1.129 6.870
0.000 -2.258 6.870
Dy Zr As
1 1 2
Direct
0.000 0.000 0.000
0.827 0.827 0.827
0.416 0.416 0.416
0.575 0.575 0.575
```

**Energy above the lowest structure with this stoichiometry**: 0.0926 eV/atom

2.
Here is crystalline DyZr2As4 at its relaxed geometry from Alexandria via LeMat-Bulk. Energies are from GGA-PBE.

POSCAR file:
```
DyZr2As4
1.0
1.946 -6.462 0.000
1.946 6.462 0.000
0.000 0.000 12.708
Dy Zr As
2 4 8
Direct
0.107 0.893 0.750
0.893 0.107 0.250
0.365 0.635 0.556
0.365 0.635 0.944
0.635 0.365 0.056
0.635 0.365 0.444
0.000 0.000 0.000
0.000 0.000 0.500
0.263 0.737 0.133
0.263 0.737 0.367
0.443 0.557 0.750
0.557 0.443 0.250
0.737 0.263 0.633
0.737 0.263 0.867
```

**Energy**: -6.689 eV per atom

3.
Here is crystalline DyZrAs2 at its relaxed geometry from Alexandria via LeMat-Bulk. Energies are from GGA-PBE.

POSCAR file:
```
DyZrAs2
1.0
1.982 1.144 6.572
-1.982 1.144 6.572
0.000 -2.289 6.572
Dy Zr As
1 1 2
Direct
0.000 0.000 0.000
0.500 0.500 0.500
0.246 0.246 0.246
0.754 0.754 0.754
```

**Energy above the lowest structure with this stoichiometry**: 0.0000 eV/atom

4.
Here is crystalline Dy5ZrAs6 at its relaxed geometry from Alexandria via LeMat-Bulk. Energies are from GGA-PBE.

POSCAR file:
```
Dy5ZrAs6
1.0
3.525 -6.100 0.000
3.525 6.100 0.000
-2.352 0.000 6.646
Dy Zr As
5 1 6
Direct
0.000 0.000 0.000
0.166 0.834 0.500
0.331 0.669 0.000
0.669 0.331 0.000
0.834 0.166 0.500
0.500 0.500 0.500
0.094 0.419 0.256
0.258 0.258 0.746
0.419 0.094 0.256
0.581 0.906 0.744
0.742 0.742 0.254
0.906 0.581 0.744
```

**Energy**: -6.423 eV per atom

5.
Here is crystalline Dy5Zr3As8 at its relaxed geometry from Alexandria via LeMat-Bulk. Energies are from GGA-PBE.

POSCAR file:
```
Dy5Zr3As8
1.0
4.007 2.313 6.585
-4.007 2.313 6.585
0.000 -4.626 6.585
Dy Zr As
5 3 8
Direct
0.000 0.000 0.000
0.000 0.500 0.500
0.500 0.000 0.500
0.500 0.500 0.000
0.500 0.500 0.500
0.000 0.000 0.500
0.000 0.500 0.000
0.500 0.000 0.000
0.241 0.750 0.750
0.246 0.246 0.246
0.250 0.250 0.759
0.250 0.759 0.250
0.750 0.241 0.750
0.750 0.750 0.241
0.754 0.754 0.754
0.759 0.250 0.250
```

**Energy**: -6.736 eV per atom

6.
Here is crystalline Er4As3 at its relaxed geometry from Alexandria via LeMat-Bulk. Energies are from GGA-PBE.

POSCAR file:
```
Er4As3
1.0
2.027 1.170 12.756
-2.027 1.170 12.756
0.000 -2.341 12.756
Er As
4 3
Direct
0.124 0.124 0.124
0.373 0.373 0.373
0.627 0.627 0.627
0.876 0.876 0.876
0.254 0.254 0.254
0.500 0.500 0.500
0.746 0.746 0.746
```

**Energy**: -5.843 eV per atom

7.
Here is crystalline Er3As at its relaxed geometry from Alexandria via LeMat-Bulk. Energies are from GGA-PBE.

POSCAR file:
```
Er3As
1.0
3.934 0.000 0.000
0.000 3.936 0.000
0.000 0.000 7.523
Er As
3 1
Direct
0.000 0.000 0.000
0.000 0.500 0.358
0.500 0.500 0.716
0.500 0.000 0.359
```

**Energy above the lowest structure with this stoichiometry**: 0.1201 eV/atom

8.
Here is crystalline Er3As at its relaxed geometry from Alexandria via LeMat-Bulk. Energies are from GGA-PBE.

POSCAR file:
```
Er3As
1.0
4.596 0.000 0.000
0.000 4.596 0.000
0.000 0.000 4.596
Er As
3 1
Direct
0.000 0.000 0.500
0.000 0.500 0.000
0.500 0.000 0.000
0.500 0.500 0.500
```

**Energy above the lowest structure with this stoichiometry**: 0.1609 eV/atom

9.
Here is crystalline Er3As at its relaxed geometry from Alexandria via LeMat-Bulk. Energies are from GGA-PBE.

POSCAR file:
```
Er3As
1.0
-1.868 2.540 5.540
1.868 -2.540 5.540
1.868 2.540 -5.540
Er As
3 1
Direct
0.000 0.000 0.000
0.295 0.795 0.500
0.705 0.205 0.500
0.500 0.500 0.000
```

**Energy above the lowest structure with this stoichiometry**: 0.0000 eV/atom

10.
Here is crystalline Er4As at its relaxed geometry from Alexandria via LeMat-Bulk. Energies are from GGA-PBE.

POSCAR file:
```
Er4As
1.0
5.426 0.000 0.000
0.000 5.426 0.000
0.000 0.000 5.426
Er As
4 1
Direct
0.000 0.000 0.000
0.000 0.500 0.500
0.500 0.000 0.500
0.500 0.500 0.000
0.500 0.500 0.500
```

**Energy**: -4.836 eV per atom

11.
Here is crystalline EuErAs at its relaxed geometry from Alexandria via LeMat-Bulk. Energies are from GGA-PBE.

POSCAR file:
```
EuErAs
1.0
4.735 0.000 0.000
-2.367 4.100 0.000
0.000 0.000 4.578
Eu Er As
1 1 1
Direct
0.000 0.000 0.000
0.667 0.333 0.502
0.333 0.667 0.403
```

**Energy**: -7.161 eV per atom

12.
Here is crystalline ErAsF at its relaxed geometry from Alexandria via LeMat-Bulk. Energies are from GGA-PBE.

POSCAR file:
```
ErAsF
1.0
3.859 0.000 0.000
-1.930 3.342 0.000
0.000 0.000 4.348
Er As F
1 1 1
Direct
0.000 0.000 0.000
0.667 0.333 0.500
0.333 0.667 0.000
```

**E_form (uncorrected)**: -49.07 kcal/mol of atoms
**Energy above the lowest structure with this stoichiometry**: 0.1433 eV/atom